Record 1
An optimized crystal structure of Nb2V4Mo5, computed with GGA-PBE.

Cell lengths 2.694, 6.928, 9.340 Å; angles 92.22, 94.55, 98.67 degrees
Sites, in units of the cell vectors:
Nb1 0.185 0.220 0.182
Nb2 0.815 0.780 0.818
V1 0.366 0.857 0.096
V2 0.396 0.681 0.543
V3 0.604 0.319 0.457
V4 0.634 0.143 0.904
Mo1 0.000 0.500 0.000
Mo2 0.050 0.409 0.716
Mo3 0.215 0.051 0.632
Mo4 0.785 0.949 0.368
Mo5 0.950 0.591 0.284

Values from the calculation:
Calculated formation energy = 31 meV per atom
Density of states at the Fermi level = 11.6 states/eV per cell
Polymorph energy (0 for the lowest one) = 0 meV/atom



Record 2
An optimized crystal structure of Nb2V2Mo, computed with GGA-PBE.

Cell lengths 5.475, 5.475, 6.735 Å; angles 103.28, 103.28, 58.73 degrees
Sites, in units of the cell vectors:
Nb1 0.037 0.279 0.143
Nb2 0.279 0.037 0.643
Nb3 0.721 0.963 0.357
Nb4 0.963 0.721 0.857
V1 0.236 0.516 0.521
V2 0.484 0.764 0.979
V3 0.516 0.236 0.021
V4 0.764 0.484 0.479
Mo1 0.310 0.690 0.250
Mo2 0.690 0.310 0.750

Values from the calculation:
Calculated formation energy = 241 meV per atom
Density of states at the Fermi level = 9.3 states/eV per cell
Polymorph energy (0 for the lowest one) = 0 meV/atom



Record 3
An optimized crystal structure of Nb4VMo2, computed with GGA-PBE.

Cell lengths 6.329, 6.329, 6.379 Å; angles 90.00, 90.00, 90.00 degrees
Sites, in units of the cell vectors:
Nb1 0.250 0.250 0.250
Nb2 0.250 0.250 0.750
Nb3 0.250 0.750 0.250
Nb4 0.250 0.750 0.750
Nb5 0.750 0.250 0.250
Nb6 0.750 0.250 0.750
Nb7 0.750 0.750 0.250
Nb8 0.750 0.750 0.750
V1 0.000 0.000 0.000
V2 0.500 0.500 0.500
Mo1 0.000 0.500 0.000
Mo2 0.000 0.500 0.500
Mo3 0.500 0.000 0.000
Mo4 0.500 0.000 0.500

Values from the calculation:
Calculated formation energy = 262 meV per atom
Density of states at the Fermi level = 18.3 states/eV per cell



Record 4
An optimized crystal structure of Nb2V2Mo7, computed with GGA-PBE.

Cell lengths 5.347, 5.347, 6.755 Å; angles 96.46, 96.46, 105.67 degrees
Sites, in units of the cell vectors:
Nb1 0.245 0.755 0.000
Nb2 0.755 0.245 0.000
V1 0.414 0.414 0.667
V2 0.586 0.586 0.333
Mo1 0.000 0.000 0.500
Mo2 0.083 0.552 0.336
Mo3 0.254 0.254 0.988
Mo4 0.448 0.917 0.664
Mo5 0.552 0.083 0.336
Mo6 0.746 0.746 0.012
Mo7 0.917 0.448 0.664

Values from the calculation:
Calculated formation energy = 310 meV per atom
Density of states at the Fermi level = 12.0 states/eV per cell